# Ac2LuMg (PBE, optimized geometry)
data_Ac2LuMg
_chemical_formula_sum 'Ac8 Lu4 Mg4'
_cell_length_a 8.290
_cell_length_b 8.290
_cell_length_c 8.290
_cell_angle_alpha 90.00
_cell_angle_beta 90.00
_cell_angle_gamma 90.00
_symmetry_space_group_name_H-M 'F m -3 m'
_symmetry_Int_Tables_number 225
_symmetry_space_group_name_Hall '-F 4 2 3'
loop_
_atom_site_label
_atom_site_fract_x
_atom_site_fract_y
_atom_site_fract_z
_atom_site_occupancy
Ac1 0.250 0.250 0.250 1
Lu1 0.000 0.000 0.000 1
Mg1 0.000 0.000 0.500 1
# E: -14.243 eV/f.u.
# E_form: 0.090 eV/f.u.
# energy above the most stable polymorph in this dataset: 0.011 eV/atom
# DOS(E_F): 3.92 states/eV/f.u.